No. 1
Below is a relaxed NiSb2Se crystal, with properties calculated at the PBE-GGA level.

Structure (POSCAR):
```
NiSb2Se
1.0
3.352 0.000 0.000
0.000 4.302 0.000
0.000 0.000 12.145
Ni Sb Se
2 4 2
Direct
0.000 0.000 0.000 Ni
0.500 0.500 0.500 Ni
0.000 0.500 0.328 Sb
0.000 0.500 0.672 Sb
0.500 0.000 0.172 Sb
0.500 0.000 0.828 Sb
0.000 0.000 0.500 Se
0.500 0.500 0.000 Se
```

Properties
- total magnetic moment (μB/atom) = 0.00
- raw formation energy (eV per atom) = 0.077
- E_tot (eV/atom) = -4.301



No. 2
Below is a relaxed NiSb2Se crystal, with properties calculated at the PBE-GGA level.

Structure (POSCAR):
```
NiSb2Se
1.0
6.791 0.000 0.000
0.000 3.884 0.000
-2.253 0.000 6.606
Ni Sb Se
2 4 2
Direct
0.000 0.000 0.000 Ni
0.500 0.500 0.000 Ni
0.233 0.500 0.198 Sb
0.267 0.000 0.802 Sb
0.733 0.000 0.198 Sb
0.767 0.500 0.802 Sb
0.000 0.500 0.500 Se
0.500 0.000 0.500 Se
```

Properties
- total magnetic moment (μB/atom) = 0.00
- raw formation energy (eV per atom) = -0.079
- E_tot (eV/atom) = -4.457



No. 3
Below is a relaxed NiSbSe3 crystal, with properties calculated at the PBE-GGA level.

Structure (POSCAR):
```
NiSbSe3
1.0
4.734 0.000 0.000
0.000 4.734 0.000
0.000 0.000 4.734
Ni Sb Se
1 1 3
Direct
0.000 0.000 0.000 Ni
0.500 0.500 0.500 Sb
0.000 0.000 0.500 Se
0.000 0.500 0.000 Se
0.500 0.000 0.000 Se
```

Properties
- total magnetic moment (μB/atom) = 0.00
- energy relative to the lowest polymorph listed for this composition (meV per atom) = 0.0
- raw formation energy (eV per atom) = 0.177
- E_tot (eV/atom) = -3.894



No. 4
Below is a relaxed Ni2Sb2Se crystal, with properties calculated at the PBE-GGA level.

Structure (POSCAR):
```
Ni2Sb2Se
1.0
7.122 0.000 0.000
0.000 7.122 0.000
0.000 0.000 3.588
Ni Sb Se
4 4 2
Direct
0.128 0.372 0.000 Ni
0.372 0.872 0.000 Ni
0.628 0.128 0.000 Ni
0.872 0.628 0.000 Ni
0.159 0.659 0.500 Sb
0.341 0.159 0.500 Sb
0.659 0.841 0.500 Sb
0.841 0.341 0.500 Sb
0.000 0.000 0.000 Se
0.500 0.500 0.000 Se
```

Properties
- total magnetic moment (μB/atom) = 0.00
- raw formation energy (eV per atom) = 0.046
- E_tot (eV/atom) = -4.612



No. 5
Below is a relaxed Ni2SbSe crystal, with properties calculated at the PBE-GGA level.

Structure (POSCAR):
```
Ni2SbSe
1.0
6.458 0.000 0.000
0.000 6.458 0.000
0.000 0.000 6.458
Ni Sb Se
8 4 4
Direct
0.000 0.000 0.000 Ni
0.000 0.500 0.500 Ni
0.250 0.250 0.250 Ni
0.250 0.750 0.750 Ni
0.500 0.000 0.500 Ni
0.500 0.500 0.000 Ni
0.750 0.250 0.750 Ni
0.750 0.750 0.250 Ni
0.250 0.250 0.750 Sb
0.250 0.750 0.250 Sb
0.750 0.250 0.250 Sb
0.750 0.750 0.750 Sb
0.000 0.000 0.500 Se
0.000 0.500 0.000 Se
0.500 0.000 0.000 Se
0.500 0.500 0.500 Se
```

Properties
- total magnetic moment (μB/atom) = 0.00
- raw formation energy (eV per atom) = 0.491
- E_tot (eV/atom) = -4.301



No. 6
Below is a relaxed SrNiSb2Se crystal, with properties calculated at the PBE-GGA level.

Structure (POSCAR):
```
SrNiSb2Se
1.0
5.414 0.000 0.000
0.000 5.414 0.000
0.000 0.000 5.623
Sr Ni Sb Se
1 1 2 1
Direct
0.000 0.000 0.000 Sr
0.500 0.500 0.000 Ni
0.000 0.500 0.500 Sb
0.500 0.000 0.500 Sb
0.000 0.000 0.500 Se
```

Properties
- total magnetic moment (μB/atom) = 0.14
- raw formation energy (eV per atom) = 0.452
- E_tot (eV/atom) = -3.386



No. 7
Below is a relaxed TiNi2SbSe crystal, with properties calculated at the PBE-GGA level.

Structure (POSCAR):
```
TiNi2SbSe
1.0
4.602 0.000 0.000
0.000 4.602 0.000
0.000 0.000 5.198
Ti Ni Sb Se
1 2 1 1
Direct
0.000 0.000 0.000 Ti
0.000 0.500 0.500 Ni
0.500 0.000 0.500 Ni
0.000 0.000 0.500 Sb
0.500 0.500 0.000 Se
```

Properties
- total magnetic moment (μB/atom) = 0.01
- raw formation energy (eV per atom) = 0.702
- E_tot (eV/atom) = -4.711



No. 8
Below is a relaxed TlNiSbSe3 crystal, with properties calculated at the PBE-GGA level.

Structure (POSCAR):
```
TlNiSbSe3
1.0
9.170 0.000 0.000
0.000 4.089 0.000
-2.265 0.000 9.090
Tl Ni Sb Se
2 2 2 6
Direct
0.209 0.250 0.165 Tl
0.791 0.750 0.835 Tl
0.432 0.750 0.922 Ni
0.568 0.250 0.078 Ni
0.145 0.250 0.656 Sb
0.855 0.750 0.344 Sb
0.156 0.750 0.431 Se
0.159 0.750 0.869 Se
0.490 0.250 0.822 Se
0.510 0.750 0.178 Se
0.841 0.250 0.131 Se
0.844 0.250 0.569 Se
```

Properties
- total magnetic moment (μB/atom) = 0.12
- raw formation energy (eV per atom) = -0.270
- E_tot (eV/atom) = -4.057



No. 9
Below is a relaxed SiNi6Sb crystal, with properties calculated at the PBE-GGA level.

Structure (POSCAR):
```
SiNi6Sb
1.0
3.636 0.000 0.000
0.000 3.636 0.000
0.000 0.000 7.187
Si Ni Sb
1 6 1
Direct
0.000 0.000 0.000 Si
0.000 0.500 0.231 Ni
0.000 0.500 0.769 Ni
0.500 0.000 0.231 Ni
0.500 0.000 0.769 Ni
0.500 0.500 0.000 Ni
0.500 0.500 0.500 Ni
0.000 0.000 0.500 Sb
```

Properties
- total magnetic moment (μB/atom) = 0.00
- energy relative to the lowest polymorph listed for this composition (meV per atom) = 0.0
- raw formation energy (eV per atom) = -0.287
- E_tot (eV/atom) = -5.816



No. 10
Below is a relaxed Si2Ni2Sb crystal, with properties calculated at the PBE-GGA level.

Structure (POSCAR):
```
Si2Ni2Sb
1.0
7.258 0.000 0.000
0.000 7.258 0.000
0.000 0.000 2.774
Si Ni Sb
4 4 2
Direct
0.135 0.365 0.000 Si
0.365 0.865 0.000 Si
0.635 0.135 0.000 Si
0.865 0.635 0.000 Si
0.146 0.646 0.500 Ni
0.354 0.146 0.500 Ni
0.646 0.854 0.500 Ni
0.854 0.354 0.500 Ni
0.000 0.000 0.500 Sb
0.500 0.500 0.500 Sb
```

Properties
- total magnetic moment (μB/atom) = 0.00
- energy relative to the lowest polymorph listed for this composition (meV per atom) = 191.0
- raw formation energy (eV per atom) = 0.004
- E_tot (eV/atom) = -5.302



No. 11
Below is a relaxed SiNi2Sb crystal, with properties calculated at the PBE-GGA level.

Structure (POSCAR):
```
SiNi2Sb
1.0
2.902 0.000 0.000
0.000 3.545 0.000
0.000 0.000 11.936
Si Ni Sb
2 4 2
Direct
0.000 0.000 0.000 Si
0.500 0.500 0.500 Si
0.000 0.000 0.553 Ni
0.000 0.500 0.871 Ni
0.500 0.000 0.371 Ni
0.500 0.500 0.053 Ni
0.000 0.500 0.249 Sb
0.500 0.000 0.749 Sb
```

Properties
- total magnetic moment (μB/atom) = 0.00
- energy relative to the lowest polymorph listed for this composition (meV per atom) = 69.3
- raw formation energy (eV per atom) = -0.161
- E_tot (eV/atom) = -5.438



No. 12
Below is a relaxed SiNi2Sb crystal, with properties calculated at the PBE-GGA level.

Structure (POSCAR):
```
SiNi2Sb
1.0
7.722 0.000 0.000
0.000 3.350 0.000
-0.740 0.000 4.895
Si Ni Sb
2 4 2
Direct
0.000 0.000 0.000 Si
0.500 0.500 0.000 Si
0.036 0.500 0.704 Ni
0.293 0.000 0.012 Ni
0.536 0.000 0.704 Ni
0.793 0.500 0.012 Ni
0.298 0.500 0.444 Sb
0.798 0.000 0.444 Sb
```

Properties
- total magnetic moment (μB/atom) = 0.00
- energy relative to the lowest polymorph listed for this composition (meV per atom) = 101.4
- raw formation energy (eV per atom) = -0.129
- E_tot (eV/atom) = -5.406



No. 13
Below is a relaxed SiNiSb2 crystal, with properties calculated at the PBE-GGA level.

Structure (POSCAR):
```
SiNiSb2
1.0
4.586 0.000 0.000
0.000 4.594 0.000
0.000 0.000 7.355
Si Ni Sb
2 2 4
Direct
0.000 0.000 0.000 Si
0.500 0.500 0.000 Si
0.000 0.000 0.500 Ni
0.500 0.500 0.500 Ni
0.000 0.500 0.277 Sb
0.000 0.500 0.723 Sb
0.500 0.000 0.277 Sb
0.500 0.000 0.723 Sb
```

Properties
- total magnetic moment (μB/atom) = 0.00
- raw formation energy (eV per atom) = 0.327
- E_tot (eV/atom) = -4.536



No. 14
Below is a relaxed SiNi2Sb crystal, with properties calculated at the PBE-GGA level.

Structure (POSCAR):
```
SiNi2Sb
1.0
3.861 0.000 0.000
0.000 4.911 0.000
0.000 0.000 6.384
Si Ni Sb
2 4 2
Direct
0.000 0.000 0.000 Si
0.500 0.500 0.500 Si
0.000 0.500 0.298 Ni
0.000 0.500 0.702 Ni
0.500 0.000 0.202 Ni
0.500 0.000 0.798 Ni
0.000 0.000 0.500 Sb
0.500 0.500 0.000 Sb
```

Properties
- total magnetic moment (μB/atom) = 0.00
- energy relative to the lowest polymorph listed for this composition (meV per atom) = 233.7
- raw formation energy (eV per atom) = 0.003
- E_tot (eV/atom) = -5.274



No. 15
Below is a relaxed SiNi2Sb crystal, with properties calculated at the PBE-GGA level.

Structure (POSCAR):
```
SiNi2Sb
1.0
3.454 0.000 0.000
0.000 2.994 0.000
-1.713 0.000 6.015
Si Ni Sb
1 2 1
Direct
0.000 0.000 0.000 Si
0.365 0.000 0.729 Ni
0.539 0.500 0.077 Ni
0.751 0.500 0.500 Sb
```

Properties
- total magnetic moment (μB/atom) = 0.00
- energy relative to the lowest polymorph listed for this composition (meV per atom) = 0.0
- raw formation energy (eV per atom) = -0.230
- E_tot (eV/atom) = -5.507



No. 16
Below is a relaxed SiNiSb crystal, with properties calculated at the PBE-GGA level.

Structure (POSCAR):
```
SiNiSb
1.0
2.976 0.000 0.000
0.000 2.976 0.000
0.000 0.000 11.748
Si Ni Sb
2 2 2
Direct
0.000 0.000 0.000 Si
0.500 0.500 0.500 Si
0.000 0.000 0.603 Ni
0.500 0.500 0.103 Ni
0.000 0.000 0.270 Sb
0.500 0.500 0.770 Sb
```

Properties
- total magnetic moment (μB/atom) = 0.00
- raw formation energy (eV per atom) = 0.093
- E_tot (eV/atom) = -5.016



No. 17
Below is a relaxed SiNiSb2 crystal, with properties calculated at the PBE-GGA level.

Structure (POSCAR):
```
SiNiSb2
1.0
5.948 0.000 0.000
0.000 5.948 0.000
0.000 0.000 11.533
Si Ni Sb
4 4 8
Direct
0.000 0.000 0.000 Si
0.000 0.500 0.250 Si
0.500 0.000 0.750 Si
0.500 0.500 0.500 Si
0.000 0.000 0.500 Ni
0.000 0.500 0.750 Ni
0.500 0.000 0.250 Ni
0.500 0.500 0.000 Ni
0.225 0.250 0.625 Sb
0.250 0.725 0.875 Sb
0.250 0.775 0.375 Sb
0.275 0.250 0.125 Sb
0.725 0.750 0.125 Sb
0.750 0.225 0.375 Sb
0.750 0.275 0.875 Sb
0.775 0.750 0.625 Sb
```

Properties
- total magnetic moment (μB/atom) = 0.00
- raw formation energy (eV per atom) = 0.134
- E_tot (eV/atom) = -4.729



No. 18
Below is a relaxed SiNiSb crystal, with properties calculated at the PBE-GGA level.

Structure (POSCAR):
```
SiNiSb
1.0
3.453 0.000 0.000
-1.727 2.991 0.000
0.000 0.000 5.111
Si Ni Sb
1 1 1
Direct
0.000 0.000 0.000 Si
0.667 0.333 0.231 Ni
0.333 0.667 0.566 Sb
```

Properties
- total magnetic moment (μB/atom) = 0.00
- raw formation energy (eV per atom) = 0.030
- E_tot (eV/atom) = -5.079



No. 19
Below is a relaxed Si2NiSb crystal, with properties calculated at the PBE-GGA level.

Structure (POSCAR):
```
Si2NiSb
1.0
3.541 0.000 0.000
0.000 3.538 0.000
-1.682 0.000 5.614
Si Ni Sb
2 1 1
Direct
0.000 0.000 0.000 Si
0.498 0.500 0.001 Si
0.363 0.000 0.709 Ni
0.759 0.500 0.494 Sb
```

Properties
- total magnetic moment (μB/atom) = 0.00
- raw formation energy (eV per atom) = 0.120
- E_tot (eV/atom) = -5.067



No. 20
Below is a relaxed SiNi15Sb4 crystal, with properties calculated at the PBE-GGA level.

Structure (POSCAR):
```
SiNi15Sb4
1.0
3.702 0.000 0.000
0.000 3.702 0.000
0.000 0.000 18.316
Si Ni Sb
1 15 4
Direct
0.000 0.000 0.000 Si
0.000 0.500 0.089 Ni
0.000 0.500 0.295 Ni
0.000 0.500 0.500 Ni
0.000 0.500 0.705 Ni
0.000 0.500 0.911 Ni
0.500 0.000 0.089 Ni
0.500 0.000 0.295 Ni
0.500 0.000 0.500 Ni
0.500 0.000 0.705 Ni
0.500 0.000 0.911 Ni
0.500 0.500 0.000 Ni
0.500 0.500 0.192 Ni
0.500 0.500 0.397 Ni
0.500 0.500 0.603 Ni
0.500 0.500 0.808 Ni
0.000 0.000 0.192 Sb
0.000 0.000 0.398 Sb
0.000 0.000 0.602 Sb
0.000 0.000 0.808 Sb
```

Properties
- total magnetic moment (μB/atom) = 0.00
- raw formation energy (eV per atom) = -0.196
- E_tot (eV/atom) = -5.627